Entry from Alexandria via LeMat-Bulk: a PBEsol-optimized structure of TeIr3Cl (meta-GGA SCAN).

Geometry as POSCAR:
```
TeIr3Cl
1.0
4.468 0.000 0.000
0.000 4.468 0.000
0.000 0.000 4.468
Te Ir Cl
1 3 1
Direct
0.000 0.000 0.000 Te
0.000 0.500 0.500 Ir
0.500 0.000 0.500 Ir
0.500 0.500 0.000 Ir
0.500 0.500 0.500 Cl
```

Calculated total energy = -49.94 eV/atom
Formation energy (no corrections) = 1.7632 eV per atom

=====

Entry from Alexandria via LeMat-Bulk: a PBEsol-optimized structure of TeIrCl (meta-GGA SCAN).

Geometry as POSCAR:
```
TeIrCl
1.0
3.742 0.000 0.000
-1.871 3.240 0.000
0.000 0.000 5.869
Te Ir Cl
1 1 1
Direct
0.000 0.000 0.000 Te
0.667 0.333 0.232 Ir
0.333 0.667 0.466 Cl
```

Calculated total energy = -39.20 eV/atom
Formation energy (no corrections) = -0.4218 eV per atom

=====

Entry from Alexandria via LeMat-Bulk: a PBEsol-optimized structure of TeIrCl2 (meta-GGA SCAN).

Geometry as POSCAR:
```
TeIrCl2
1.0
2.885 -4.324 0.000
2.885 4.324 0.000
0.000 0.000 2.993
Te Ir Cl
1 1 2
Direct
0.000 0.000 0.000 Te
0.500 0.500 0.000 Ir
0.000 0.500 0.500 Cl
0.500 0.000 0.500 Cl
```

Polymorph energy (0 for the lowest one) = 1.061 eV per atom
Calculated total energy = -30.06 eV/atom
Formation energy (no corrections) = 1.0187 eV per atom